(1)
Here is a relaxed structure of ZnSeO3 from the Alexandria database. Energies are from GGA-PBE.

Summary:
DFT total energy in eV/atom: -4.95
Fermi-level density of states in states/eV/f.u.: 0.00

a = 5.0863 Å, b = 5.0777 Å, c = 7.4271 Å
α = 79.10°, β = 67.82°, γ = 59.94°
Closest atoms and distances in Å follow each position.
Fractional coordinates of all 10 atoms:
Zn (0.6666, 0.6669, 0.0000)  6 O 2.12-2.13
Zn (0.3334, 0.3331, 0.0000)  6 O 2.12-2.13
Se (0.1537, 0.0000, 0.7220)  3 O 1.75
Se (0.8463, 0.0000, 0.2780)  3 O 1.75
O (0.7831, 0.0000, 0.8224)  1 Se 1.75
O (0.2169, 0.0000, 0.1776)  1 Se 1.75
O (0.0973, 0.3149, 0.8240)  1 Se 1.75
O (0.4122, 0.6851, 0.8240)  1 Se 1.75
O (0.9027, 0.6851, 0.1760)  1 Se 1.75
O (0.5878, 0.3149, 0.1760)  1 Se 1.75

=====

(2)
Here is a relaxed structure of YCu2GeW from the Alexandria database. Energies are from GGA-PBE.

Summary:
DFT total energy in eV/atom: -5.38
Fermi-level density of states in states/eV/f.u.: 3.63
Calculated formation energy in eV per atom: 1.069

a = 4.4339 Å, b = 5.3261 Å, c = 4.4339 Å
α = 90.00°, β = 90.00°, γ = 90.00°
Closest atoms and distances in Å follow each position.
Fractional coordinates of all 5 atoms:
Y (0.0000, 0.5000, 0.0000)  2 Ge 2.66
Ge (0.0000, 0.0000, 0.0000)  4 Cu 2.22
Cu (0.0000, 0.0000, 0.5000)  2 Ge 2.22
Cu (0.5000, 0.0000, 0.0000)  2 Ge 2.22
W (0.5000, 0.5000, 0.5000)  4 Y 3.14, 8 Cu 3.47

=====

(3)
Here is a relaxed structure of SrTeW2 from the Alexandria database. Energies are from GGA-PBE.

Summary:
DFT total energy in eV/atom: -7.33
Fermi-level density of states in states/eV/f.u.: 2.73

a = 3.3379 Å, b = 3.4639 Å, c = 8.5294 Å
α = 78.23°, β = 90.00°, γ = 90.00°
Closest atoms and distances in Å follow each position.
Fractional coordinates of all 4 atoms:
Sr (0.0000, 0.5722, 0.4797)  4 Sr 3.34-3.46, 5 W 3.43-3.57, 4 Te 3.47-3.48
Te (0.5000, 0.9221, 0.7802)  2 W 2.82
W (0.0000, 0.7864, 0.0527)  4 W 2.65-2.66, 2 Te 2.82
W (0.5000, 0.2192, 0.1873)  4 W 2.65-2.66

=====

(4)
Here is a relaxed structure of Na2SnHg2 from the Alexandria database. Energies are from GGA-PBE.

Summary:
DFT total energy in eV/atom: -1.56
Fermi-level density of states in states/eV/f.u.: 2.33
Calculated formation energy in eV per atom: -0.108

a = 8.8388 Å, b = 8.8388 Å, c = 3.3674 Å
α = 90.00°, β = 90.00°, γ = 90.00°
Closest atoms and distances in Å follow each position.
Fractional coordinates of all 10 atoms:
Na (0.3552, 0.8552, 0.0000)  6 Hg 3.06-3.11, 2 Na 3.37, 2 Sn 3.39
Na (0.8552, 0.6448, 0.0000)  6 Hg 3.06-3.11, 2 Na 3.37, 2 Sn 3.39
Na (0.6448, 0.1448, 0.0000)  6 Hg 3.06-3.11, 2 Na 3.37, 2 Sn 3.39
Na (0.1448, 0.3552, 0.0000)  6 Hg 3.06-3.11, 2 Na 3.37, 2 Sn 3.39
Hg (0.1511, 0.6511, 0.5000)  6 Na 3.06-3.11, 2 Hg 3.37
Hg (0.6511, 0.8489, 0.5000)  6 Na 3.06-3.11, 2 Hg 3.37
Hg (0.8489, 0.3489, 0.5000)  6 Na 3.06-3.11, 2 Hg 3.37
Hg (0.3489, 0.1511, 0.5000)  6 Na 3.06-3.11, 2 Hg 3.37
Sn (0.0000, 0.0000, 0.0000)  2 Sn 3.37, 4 Na 3.39, 8 Hg 3.76
Sn (0.5000, 0.5000, 0.0000)  2 Sn 3.37, 4 Na 3.39, 8 Hg 3.76

=====

(5)
Here is a relaxed structure of Sm3Tl2Rh3 from the Alexandria database. Energies are from GGA-PBE.

Summary:
DFT total energy in eV/atom: -5.60
Fermi-level density of states in states/eV/f.u.: 5.08
Calculated formation energy in eV per atom: -0.480

a = 3.4767 Å, b = 5.0025 Å, c = 10.9864 Å
α = 103.16°, β = 99.10°, γ = 90.00°
Closest atoms and distances in Å follow each position.
Fractional coordinates of all 8 atoms:
Sm (0.6186, 0.6186, 0.2373)  6 Rh 3.05, 2 Tl 3.35
Sm (0.3814, 0.3814, 0.7627)  6 Rh 3.05, 2 Tl 3.35
Sm (0.5000, 0.0000, 0.0000)  8 Rh 2.93-3.05
Tl (0.7244, 0.2244, 0.4487)  2 Rh 2.95, 4 Tl 3.23
Tl (0.2756, 0.7756, 0.5513)  2 Rh 2.95, 4 Tl 3.23
Rh (0.1115, 0.1115, 0.2230)  6 Sm 2.93-3.05, 2 Tl 2.95
Rh (0.0000, 0.5000, 0.0000)  8 Sm 3.05
Rh (0.8885, 0.8885, 0.7770)  6 Sm 2.93-3.05, 2 Tl 2.95

=====

(6)
Here is a relaxed structure of V2InC2 from the Alexandria database. Energies are from GGA-PBE.

Summary:
DFT total energy in eV/atom: -7.37
Fermi-level density of states in states/eV/f.u.: 3.00
Calculated formation energy in eV per atom: 0.518

a = 6.1842 Å, b = 6.1842 Å, c = 2.8782 Å
α = 90.00°, β = 90.00°, γ = 90.00°
Closest atoms and distances in Å follow each position.
Fractional coordinates of all 10 atoms:
C (0.3631, 0.8631, 0.0000)  6 V 2.21-2.46, 1 C 2.39, 2 In 2.40
C (0.8631, 0.6369, 0.0000)  6 V 2.21-2.46, 1 C 2.39, 2 In 2.40
C (0.6369, 0.1369, 0.0000)  6 V 2.21-2.46, 1 C 2.39, 2 In 2.40
C (0.1369, 0.3631, 0.0000)  6 V 2.21-2.46, 1 C 2.39, 2 In 2.40
In (0.0000, 0.0000, 0.0000)  4 C 2.40
In (0.5000, 0.5000, 0.0000)  4 C 2.40
V (0.1348, 0.6348, 0.5000)  6 C 2.21-2.46, 1 V 2.36
V (0.6348, 0.8652, 0.5000)  6 C 2.21-2.46, 1 V 2.36
V (0.8652, 0.3652, 0.5000)  6 C 2.21-2.46, 1 V 2.36
V (0.3652, 0.1348, 0.5000)  6 C 2.21-2.46, 1 V 2.36

=====

(7)
Here is a relaxed structure of YInP4 from the Alexandria database. Energies are from GGA-PBE.

Summary:
DFT total energy in eV/atom: -5.12
Fermi-level density of states in states/eV/f.u.: 2.83
Calculated formation energy in eV per atom: 0.021

a = 5.4198 Å, b = 5.4198 Å, c = 5.4198 Å
α = 60.00°, β = 60.00°, γ = 60.00°
Closest atoms and distances in Å follow each position.
Fractional coordinates of all 6 atoms:
Y (0.7500, 0.7500, 0.7500)  12 P 3.20, 4 In 3.32
In (0.0000, 0.0000, 0.0000)  12 P 3.16, 4 Y 3.32
P (0.9035, 0.3655, 0.3655)  3 P 2.50
P (0.3655, 0.3655, 0.9035)  3 P 2.50
P (0.3655, 0.9035, 0.3655)  3 P 2.50
P (0.3655, 0.3655, 0.3655)  3 P 2.50

=====

(8)
Here is a relaxed structure of CeDy2Cu9 from the Alexandria database. Energies are from GGA-PBE.

Summary:
DFT total energy in eV/atom: -4.49
Fermi-level density of states in states/eV/f.u.: 13.15
Calculated formation energy in eV per atom: -0.157

a = 5.2264 Å, b = 5.2264 Å, c = 16.4536 Å
α = 90.00°, β = 90.00°, γ = 120.00°
Closest atoms and distances in Å follow each position.
Fractional coordinates of all 24 atoms:
Ce (0.3333, 0.6667, 0.7500)  18 Cu 3.02-3.32
Ce (0.6667, 0.3333, 0.2500)  18 Cu 3.02-3.32
Dy (0.3333, 0.6667, 0.5353)  12 Cu 3.01-3.07, 3 Dy 3.23
Dy (0.6667, 0.3333, 0.0353)  12 Cu 3.01-3.07, 3 Dy 3.23
Dy (0.6667, 0.3333, 0.4647)  12 Cu 3.01-3.07, 3 Dy 3.23
Dy (0.3333, 0.6667, 0.9647)  12 Cu 3.01-3.07, 3 Dy 3.23
Cu (0.0000, 0.0000, 0.0000)  6 Cu 2.57
Cu (0.0000, 0.0000, 0.5000)  6 Cu 2.57
Cu (0.0000, 0.0000, 0.2500)  6 Cu 2.54
Cu (0.0000, 0.0000, 0.7500)  6 Cu 2.54
Cu (0.3333, 0.6667, 0.2500)  6 Cu 2.54
Cu (0.6667, 0.3333, 0.7500)  6 Cu 2.54
Cu (0.1669, 0.3337, 0.1260)  7 Cu 2.54-2.62
Cu (0.6663, 0.8331, 0.1260)  7 Cu 2.54-2.62
Cu (0.1669, 0.8331, 0.1260)  7 Cu 2.54-2.62
Cu (0.8331, 0.6663, 0.6260)  7 Cu 2.54-2.62
Cu (0.3337, 0.1669, 0.6260)  7 Cu 2.54-2.62
Cu (0.8331, 0.1669, 0.6260)  7 Cu 2.54-2.62
Cu (0.3337, 0.1669, 0.8740)  7 Cu 2.54-2.62
Cu (0.8331, 0.6663, 0.8740)  7 Cu 2.54-2.62
Cu (0.8331, 0.1669, 0.8740)  7 Cu 2.54-2.62
Cu (0.6663, 0.8331, 0.3740)  7 Cu 2.54-2.62
Cu (0.1669, 0.3337, 0.3740)  7 Cu 2.54-2.62
Cu (0.1669, 0.8331, 0.3740)  7 Cu 2.54-2.62

=====

(9)
Here is a relaxed structure of Y3Sb5S12 from the Alexandria database. Energies are from GGA-PBE.

Summary:
DFT total energy in eV/atom: -5.20

a = 13.9878 Å, b = 13.9878 Å, c = 13.9878 Å
α = 109.47°, β = 109.47°, γ = 109.47°
Closest atoms and distances in Å follow each position.
Fractional coordinates of all 80 atoms:
Y (0.7500, 0.3750, 0.1250)  8 S 2.96-2.98
Y (0.8750, 0.7500, 0.1250)  8 S 2.96-2.98
Y (0.3750, 0.7500, 0.6250)  8 S 2.96-2.98
Y (0.2500, 0.1250, 0.3750)  8 S 2.96-2.98
Y (0.8750, 0.1250, 0.2500)  8 S 2.96-2.98
Y (0.3750, 0.6250, 0.2500)  8 S 2.96-2.98
Y (0.6250, 0.3750, 0.7500)  8 S 2.96-2.98
Y (0.1250, 0.8750, 0.7500)  8 S 2.96-2.98
Y (0.7500, 0.8750, 0.6250)  8 S 2.96-2.98
Y (0.6250, 0.2500, 0.3750)  8 S 2.96-2.98
Y (0.1250, 0.2500, 0.8750)  8 S 2.96-2.98
Y (0.2500, 0.6250, 0.8750)  8 S 2.96-2.98
Sb (0.1250, 0.3750, 0.2500)  4 S 2.60
Sb (0.0000, 0.5000, 0.0000)  6 S 2.74
Sb (0.0000, 0.0000, 0.0000)  6 S 2.74
Sb (0.3750, 0.2500, 0.1250)  4 S 2.60
Sb (0.5000, 0.0000, 0.5000)  6 S 2.74
Sb (0.5000, 0.5000, 0.0000)  6 S 2.74
Sb (0.1250, 0.7500, 0.3750)  4 S 2.60
Sb (0.7500, 0.1250, 0.8750)  4 S 2.60
Sb (0.7500, 0.6250, 0.3750)  4 S 2.60
Sb (0.3750, 0.1250, 0.7500)  4 S 2.60
Sb (0.6250, 0.8750, 0.2500)  4 S 2.60
Sb (0.5000, 0.5000, 0.5000)  6 S 2.74
Sb (0.5000, 0.0000, 0.0000)  6 S 2.74
Sb (0.0000, 0.0000, 0.5000)  6 S 2.74
Sb (0.2500, 0.3750, 0.6250)  4 S 2.60
Sb (0.2500, 0.8750, 0.1250)  4 S 2.60
Sb (0.0000, 0.5000, 0.5000)  6 S 2.74
Sb (0.8750, 0.2500, 0.6250)  4 S 2.60
Sb (0.6250, 0.7500, 0.8750)  4 S 2.60
Sb (0.8750, 0.6250, 0.7500)  4 S 2.60
S (0.7227, 0.1387, 0.0533)  2 Sb 2.60-2.74
S (0.3306, 0.5533, 0.4146)  2 Sb 2.60-2.74
S (0.9467, 0.3613, 0.2773)  2 Sb 2.60-2.74
S (0.5533, 0.2227, 0.1387)  2 Sb 2.60-2.74
S (0.5840, 0.7227, 0.6694)  2 Sb 2.60-2.74
S (0.9467, 0.5854, 0.1694)  2 Sb 2.60-2.74
S (0.3306, 0.7773, 0.4160)  2 Sb 2.60-2.74
S (0.0854, 0.9160, 0.1387)  2 Sb 2.60-2.74
S (0.5854, 0.9467, 0.6694)  2 Sb 2.60-2.74
S (0.7227, 0.5840, 0.1694)  2 Sb 2.60-2.74
S (0.7773, 0.4467, 0.3613)  2 Sb 2.60-2.74
S (0.8306, 0.9146, 0.0533)  2 Sb 2.60-2.74
S (0.1387, 0.7227, 0.5533)  2 Sb 2.60-2.74
S (0.3613, 0.4146, 0.0840)  2 Sb 2.60-2.74
S (0.0840, 0.9146, 0.3613)  2 Sb 2.60-2.74
S (0.4160, 0.1387, 0.5854)  2 Sb 2.60-2.74
S (0.0840, 0.1694, 0.2227)  2 Sb 2.60-2.74
S (0.4467, 0.6694, 0.0854)  2 Sb 2.60-2.74
S (0.8306, 0.9160, 0.2773)  2 Sb 2.60-2.74
S (0.1387, 0.4160, 0.0854)  2 Sb 2.60-2.74
S (0.3613, 0.9467, 0.7773)  2 Sb 2.60-2.74
S (0.5854, 0.6387, 0.4160)  2 Sb 2.60-2.74
S (0.9146, 0.8306, 0.5533)  2 Sb 2.60-2.74
S (0.7773, 0.3306, 0.9160)  2 Sb 2.60-2.74
S (0.4146, 0.3613, 0.5840)  2 Sb 2.60-2.74
S (0.0854, 0.1694, 0.4467)  2 Sb 2.60-2.74
S (0.2227, 0.6694, 0.0840)  2 Sb 2.60-2.74
S (0.1694, 0.0840, 0.7227)  2 Sb 2.60-2.74
S (0.6387, 0.0533, 0.2227)  2 Sb 2.60-2.74
S (0.8613, 0.5840, 0.9146)  2 Sb 2.60-2.74
S (0.5533, 0.3306, 0.9146)  2 Sb 2.60-2.74
S (0.5840, 0.8613, 0.4146)  2 Sb 2.60-2.74
S (0.9160, 0.8306, 0.7773)  2 Sb 2.60-2.74
S (0.9160, 0.0854, 0.6387)  2 Sb 2.60-2.74
S (0.8613, 0.2773, 0.4467)  2 Sb 2.60-2.74
S (0.1694, 0.0854, 0.9467)  2 Sb 2.60-2.74
S (0.6387, 0.5854, 0.9160)  2 Sb 2.60-2.74
S (0.4146, 0.0533, 0.3306)  2 Sb 2.60-2.74
S (0.2773, 0.4160, 0.8306)  2 Sb 2.60-2.74
S (0.2227, 0.5533, 0.6387)  2 Sb 2.60-2.74
S (0.9146, 0.0840, 0.8613)  2 Sb 2.60-2.74
S (0.6694, 0.2227, 0.5840)  2 Sb 2.60-2.74
S (0.4467, 0.7773, 0.8613)  2 Sb 2.60-2.74
S (0.0533, 0.4146, 0.8306)  2 Sb 2.60-2.74
S (0.4160, 0.2773, 0.3306)  2 Sb 2.60-2.74
S (0.0533, 0.6387, 0.7227)  2 Sb 2.60-2.74
S (0.6694, 0.4467, 0.5854)  2 Sb 2.60-2.74
S (0.2773, 0.8613, 0.9467)  2 Sb 2.60-2.74

=====

(10)
Here is a relaxed structure of Ca3Cd2Hg2 from the Alexandria database. Energies are from GGA-PBE.

Summary:
DFT total energy in eV/atom: -1.48
Fermi-level density of states in states/eV/f.u.: 7.34
Calculated formation energy in eV per atom: -0.272

a = 5.2617 Å, b = 5.2565 Å, c = 9.3333 Å
α = 90.16°, β = 106.33°, γ = 120.05°
Closest atoms and distances in Å follow each position.
Fractional coordinates of all 7 atoms:
Ca (0.0000, 0.0000, 0.0000)  6 Hg 3.24, 2 Cd 3.43
Ca (0.5023, 0.2505, 0.7539)  4 Hg 3.21-3.30, 4 Cd 3.22-3.29
Ca (0.4977, 0.7495, 0.2461)  4 Hg 3.21-3.30, 4 Cd 3.22-3.29
Cd (0.2599, 0.1309, 0.3891)  5 Ca 3.22-3.43, 1 Cd 3.59
Cd (0.7401, 0.8691, 0.6109)  5 Ca 3.22-3.43, 1 Cd 3.59
Hg (0.7519, 0.3763, 0.1277)  7 Ca 3.21-3.30
Hg (0.2481, 0.6237, 0.8723)  7 Ca 3.21-3.30